[1]
An optimized crystal structure of Cs2Tb2PbO6, computed with PBE-GGA.

```
data_Cs2Tb2PbO6
_chemical_formula_sum 'Cs2 Tb2 Pb1 O6'
_space_group_name_H-M_alt 'P 1'
_space_group_IT_number 1
_cell_length_a 6.0647
_cell_length_b 6.0647
_cell_length_c 7.3233
_cell_angle_alpha 97.69
_cell_angle_beta 97.69
_cell_angle_gamma 120.00
loop_
_space_group_symop_operation_xyz
'x,y,z'
loop_
_atom_site_label
_atom_site_type_symbol
_atom_site_fract_x
_atom_site_fract_y
_atom_site_fract_z
O1 O 0.2680 0.2680 0.3413
O2 O 0.0477 0.3792 0.6596
O3 O 0.6208 0.9523 0.3404
O4 O 0.7320 0.7320 0.6587
O5 O 0.3792 0.0477 0.6596
O6 O 0.9523 0.6208 0.3404
Tb1 Tb 0.6658 0.3342 0.5000
Tb2 Tb 0.3342 0.6658 0.5000
Cs1 Cs 0.8339 0.1661 0.0000
Cs2 Cs 0.1661 0.8339 0.0000
Pb1 Pb 0.0000 0.0000 0.5000
```

Volume: 20.43 A^3/atom
Total magnetization: 0.00 μB per formula unit
Energy relative to the elements, uncorrected: -2.1932 eV per atom
Raw total energy: -6.23 eV/atom

[2]
An optimized crystal structure of NbV2Rh, computed with PBE-GGA.

```
data_NbV2Rh
_chemical_formula_sum 'Nb2 V4 Rh2'
_space_group_name_H-M_alt 'P 1'
_space_group_IT_number 1
_cell_length_a 6.9670
_cell_length_b 6.9670
_cell_length_c 5.5816
_cell_angle_alpha 51.38
_cell_angle_beta 51.38
_cell_angle_gamma 90.00
loop_
_space_group_symop_operation_xyz
'x,y,z'
loop_
_atom_site_label
_atom_site_type_symbol
_atom_site_fract_x
_atom_site_fract_y
_atom_site_fract_z
Rh1 Rh 0.0000 0.0000 0.0000
Rh2 Rh 0.7500 0.2500 0.5000
Nb1 Nb 0.5000 0.5000 0.0000
Nb2 Nb 0.2500 0.7500 0.5000
V1 V 0.8750 0.8938 0.7500
V2 V 0.6438 0.1250 0.2500
V3 V 0.3750 0.3562 0.7500
V4 V 0.1062 0.6250 0.2500
```

Energy of formation: 29 kJ per mole of atoms
Volume: 15.92 A^3/atom
Total magnetization: 0.00 μB per formula unit
Raw total energy: -8.62 eV/atom